No. 1
ScBe2Co | PBE | optimized geometry

It has space group Pmmm (No. 47), with a = 3.484 Å, b = 3.545 Å, c = 3.994 Å, α = 90.00°, β = 90.00° and γ = 90.00°. Symmetry generates all atoms from Sc at (0.000, 0.000, 0.000), Be at (0.000, 0.500, 0.500), Be at (0.500, 0.000, 0.500) and Co at (0.500, 0.500, 0.000).

As for the crystal system: orthorhombic. The calculation puts the energy relative to the elements at 0.052 eV/atom. The polymorph energy (0 for the lowest one) comes out at 98 kJ/mol of formula units.

=====

No. 2
Hf2UFe | PBE | optimized geometry

It has space group P4/mmm (No. 123), with a = 3.099 Å, b = 3.099 Å, c = 7.931 Å, α = 90.00°, β = 90.00° and γ = 90.00°. Symmetry generates all atoms from Hf at (0.000, 0.000, 0.199), U at (0.500, 0.500, 0.500) and Fe at (0.500, 0.500, 0.000).

As for the crystal system: tetragonal. The calculation puts the energy relative to the elements at 0.023 eV/atom.

=====

No. 3
Ac3H12Ru5 | PBE | optimized geometry

It has space group Ia-3d (No. 230), with a = 12.112 Å, b = 12.112 Å, c = 12.112 Å, α = 90.00°, β = 90.00° and γ = 90.00°. Symmetry generates all atoms from Ac at (0.000, 0.250, 0.125), H at (0.045, 0.133, 0.950), Ru at (0.000, 0.000, 0.000) and Ru at (0.000, 0.250, 0.375).

As for the crystal system: cubic.

=====

no.,energy (eV per atom)
1,-5.17
2,-9.89
3,-5.07